Entry from Alexandria: crystalline MnRe3Ag at its relaxed geometry (GGA-PBE).

As for the relative energy among the computed polymorphs: 0.0 meV/atom. The calculated volume comes out at 87 Å³/cell. For the calculated density, the calculation gives 13.7 g/cm3. As for the energy: -8.285 eV per atom.

It has space group Pm-3m (No. 221), with a = 4.436 Å, b = 4.436 Å, c = 4.436 Å, α = 90.00°, β = 90.00° and γ = 90.00°. The inequivalent atoms are Mn at (0.000, 0.000, 0.000), Re at (0.000, 0.000, 0.500) and Ag at (0.500, 0.500, 0.500).